1) NdSn3Pt3: relaxed, PBE.

Summary:
Mass density   9.34 Mg/m³
Total magnetic moment   0.0 μB/f.u.

abc: 7.2800 7.2800 7.2800
angles: 90.00 90.00 90.00
Last column: nearest neighbours and their distance in Å.
Space group Pm-3n (No. 223)
Asymmetric unit:
Nd 0.0000 0.0000 0.0000 (multiplicity 2)  12 Sn 4.07, 12 Pt 4.07
Sn 0.0000 0.2500 0.5000 (multiplicity 6)  4 Pt 2.57
Pt 0.0000 0.5000 0.2500 (multiplicity 6)  4 Sn 2.57



2) NdSn3Pt3: relaxed, PBE.

Summary:
Mass density   10.69 Mg/m³
Total magnetic moment   0.0 μB/f.u.

abc: 8.3712 8.3712 16.6775
angles: 90.00 90.00 120.00
Last column: nearest neighbours and their distance in Å.
Space group R-3 (No. 148, hexagonal axes)
Asymmetric unit:
Nd 0.0000 0.0000 0.1653 (multiplicity 6)  6 Pt 2.97-3.01
Sn 0.0032 0.2927 0.5951 (multiplicity 18)  5 Pt 2.68-2.95
Pt 0.0045 0.3613 0.4215 (multiplicity 18)  5 Sn 2.68-2.95, 1 Nd 2.97



So which one wins? Going from most stable to least: 2), 1).



1) SrNdPt: relaxed, PBE.

Summary:
Mass density   7.50 Mg/m³
Total magnetic moment   0.0 μB/f.u.

abc: 4.1393 6.7702 13.5013
angles: 90.00 90.00 90.00
Last column: nearest neighbours and their distance in Å.
Space group Immm (No. 71)
Asymmetric unit:
Sr 0.0000 0.2372 0.0000 (multiplicity 4)  2 Sr 3.21-3.56, 4 Pt 3.23
Nd 0.0000 0.0000 0.2801 (multiplicity 4)  2 Pt 2.80
Pt 0.0000 0.5000 0.3597 (multiplicity 4)  2 Nd 2.80



2) SrNdPt: relaxed, PBE.

Summary:
Mass density   7.03 Mg/m³
Total magnetic moment   0.0 μB/f.u.

abc: 7.2771 3.9086 7.3134
angles: 90.00 104.16 90.00
Last column: nearest neighbours and their distance in Å.
Space group Pm (No. 6)
Asymmetric unit:
Sr 0.0000 0.0000 0.0000 (multiplicity 1)  2 Pt 3.15-3.21
Sr 0.0643 0.5000 0.5104 (multiplicity 1)  4 Pt 3.21-3.24, 1 Nd 3.51
Nd 0.4841 0.5000 0.1127 (multiplicity 1)  4 Pt 2.97-2.99
Nd 0.5622 0.5000 0.6315 (multiplicity 1)  4 Pt 2.96
Pt 0.3443 0.0000 0.3582 (multiplicity 1)  4 Nd 2.96-2.99, 3 Sr 3.15-3.21, 1 Pt 3.25
Pt 0.3482 0.0000 0.8032 (multiplicity 1)  4 Nd 2.96-2.97, 3 Sr 3.21-3.24, 1 Pt 3.25



3) SrNdPt: relaxed, PBE.

Summary:
Mass density   6.41 Mg/m³
Total magnetic moment   0.0 μB/f.u.

abc: 4.2913 4.2913 6.9337
angles: 90.00 90.00 120.00
Last column: nearest neighbours and their distance in Å.
Space group P3m1 (No. 156)
Asymmetric unit:
Sr 0.0000 0.0000 0.0000 (multiplicity 1)  3 Pt 3.07
Nd 0.3333 0.6667 0.4643 (multiplicity 1)  3 Pt 2.85
Pt 0.6667 0.3333 0.2621 (multiplicity 1)  3 Nd 2.85, 3 Sr 3.07



So which one wins? Going from most stable to least: 3), 2), 1).



1) Tb2NdPt: relaxed, PBE.

Summary:
Mass density   9.52 Mg/m³
Total magnetic moment   0.0 μB/f.u.

abc: 7.1637 9.7019 6.5971
angles: 90.00 90.00 90.00
Last column: nearest neighbours and their distance in Å.
Space group Pnma (No. 62)
Asymmetric unit:
Tb 0.1781 0.0622 0.1731 (multiplicity 8)  2 Pt 2.86-2.90
Nd 0.0238 0.2500 0.6342 (multiplicity 4)  2 Pt 2.92-3.03
Pt 0.1145 0.7500 0.9313 (multiplicity 4)  4 Tb 2.86-2.90, 2 Nd 2.92-3.03



2) Tb2NdPt: relaxed, PBE.

Summary:
Mass density   8.76 Mg/m³
Total magnetic moment   0.0 μB/f.u.

abc: 3.9810 3.9810 27.2268
angles: 90.00 90.00 120.00
Last column: nearest neighbours and their distance in Å.
Space group R3m (No. 160, hexagonal axes)
Asymmetric unit:
Tb 0.0000 0.0000 0.0000 (multiplicity 3)  3 Pt 2.82
Tb 0.0000 0.0000 0.2144 (multiplicity 3)  3 Pt 2.80
Nd 0.0000 0.0000 0.4428 (multiplicity 3)  6 Tb 3.67-3.76, 6 Nd 3.98
Pt 0.0000 0.0000 0.6066 (multiplicity 3)  6 Tb 2.80-2.82



3) Tb2NdPt: relaxed, PBE.

Summary:
Mass density   9.69 Mg/m³
Total magnetic moment   0.0 μB/f.u.

abc: 3.8499 9.3902 6.5168
angles: 90.00 107.14 90.00
Last column: nearest neighbours and their distance in Å.
Space group P2_1/m (No. 11)
Asymmetric unit:
Tb 0.1381 0.0627 0.2770 (multiplicity 4)  2 Pt 2.88
Nd 0.4347 0.2500 0.8687 (multiplicity 2)  2 Pt 3.13
Pt 0.2642 0.7500 0.5277 (multiplicity 2)  4 Tb 2.88, 2 Nd 3.13



4) Tb2NdPt: relaxed, PBE.

Summary:
Mass density   8.85 Mg/m³
Total magnetic moment   0.0 μB/f.u.

abc: 3.8651 3.8651 28.6060
angles: 90.00 90.00 120.00
Last column: nearest neighbours and their distance in Å.
Space group R-3m (No. 166, hexagonal axes)
Asymmetric unit:
Tb 0.0000 0.0000 0.2270 (multiplicity 6)  3 Pt 2.82
Nd 0.0000 0.0000 0.0000 (multiplicity 3)  6 Tb 3.77, 6 Nd 3.87
Pt 0.0000 0.0000 0.5000 (multiplicity 3)  6 Tb 2.82



So which one wins? Going from most stable to least: 1), 3), 2), 4).



1) Tb2NdPt2: relaxed, PBE.

Summary:
Mass density   10.85 Mg/m³
Total magnetic moment   0.0 μB/f.u.

abc: 6.6667 6.6629 6.6743
angles: 90.00 118.33 90.00
Last column: nearest neighbours and their distance in Å.
Space group C2/m (No. 12)
Asymmetric unit:
Tb 0.0000 0.2489 0.0000 (multiplicity 4)  4 Pt 2.86
Nd 0.0000 0.5000 0.5000 (multiplicity 2)  8 Pt 3.50-3.67, 8 Tb 3.73-3.80
Pt 0.1202 0.0000 0.7252 (multiplicity 4)  1 Pt 2.65, 4 Tb 2.86



2) Tb2NdPt2: relaxed, PBE.

Summary:
Mass density   11.51 Mg/m³
Total magnetic moment   0.0 μB/f.u.

abc: 7.8999 7.8999 3.9406
angles: 90.00 90.00 90.00
Last column: nearest neighbours and their distance in Å.
Space group P4/mbm (No. 127)
Asymmetric unit:
Tb 0.1600 0.3400 0.0000 (multiplicity 4)  6 Pt 3.02-3.06
Nd 0.0000 0.0000 0.5000 (multiplicity 2)  4 Pt 3.07
Pt 0.1351 0.6351 0.5000 (multiplicity 4)  1 Pt 3.02, 6 Tb 3.02-3.06, 2 Nd 3.07



So which one wins? Going from most stable to least: 2), 1).



1) TbNdPt2: relaxed, PBE.

Summary:
Mass density   12.76 Mg/m³
Total magnetic moment   0.0 μB/f.u.

abc: 3.5524 3.5524 7.1499
angles: 90.00 90.00 90.00
Last column: nearest neighbours and their distance in Å.
Space group P4/mmm (No. 123)
Asymmetric unit:
Tb 0.0000 0.0000 0.0000 (multiplicity 1)  8 Pt 3.02
Nd 0.0000 0.0000 0.5000 (multiplicity 1)  8 Pt 3.15
Pt 0.5000 0.5000 0.2343 (multiplicity 2)  4 Tb 3.02, 4 Nd 3.15, 1 Pt 3.35



2) TbNdPt2: relaxed, PBE.

Summary:
Mass density   11.46 Mg/m³
Total magnetic moment   0.0 μB/f.u.

abc: 4.1393 4.1393 20.3090
angles: 90.00 90.00 120.00
Last column: nearest neighbours and their distance in Å.
Space group R-3m (No. 166, hexagonal axes)
Asymmetric unit:
Tb 0.0000 0.0000 0.0000 (multiplicity 3)  6 Pt 2.89
Nd 0.0000 0.0000 0.5000 (multiplicity 3)  6 Pt 2.97
Pt 0.0000 0.0000 0.2535 (multiplicity 6)  3 Tb 2.89, 3 Nd 2.97



So which one wins? Going from most stable to least: 1), 2).



1) TbNdPt2: relaxed, PBE.

Summary:
Mass density   12.25 Mg/m³
Total magnetic moment   0.0 μB/f.u.

abc: 4.5272 3.8625 10.7487
angles: 90.00 90.00 90.00
Last column: nearest neighbours and their distance in Å.
Space group Amm2 (No. 38)
Asymmetric unit:
Tb 0.0000 0.0000 0.0000 (multiplicity 2)  7 Pt 2.97-3.08
Nd 0.5000 0.0000 0.7252 (multiplicity 2)  7 Pt 2.93-3.11
Pt 0.0000 0.0000 0.2767 (multiplicity 2)  2 Pt 2.95, 3 Tb 2.97-3.08, 4 Nd 3.03
Pt 0.5000 0.0000 0.4522 (multiplicity 2)  3 Nd 2.93-3.11, 2 Pt 2.95, 4 Tb 3.02



2) TbNdPt2: relaxed, PBE.

Summary:
Mass density   12.73 Mg/m³
Total magnetic moment   0.0 μB/f.u.

abc: 7.1249 7.1249 7.1249
angles: 90.00 90.00 90.00
Last column: nearest neighbours and their distance in Å.
Space group Fm-3m (No. 225)
Asymmetric unit:
Tb 0.0000 0.0000 0.0000 (multiplicity 4)  8 Pt 3.09
Nd 0.0000 0.0000 0.5000 (multiplicity 4)  8 Pt 3.09
Pt 0.2500 0.2500 0.2500 (multiplicity 8)  4 Nd 3.09, 4 Tb 3.09



So which one wins? Going from most stable to least: 1), 2).



1) TbNdPt: relaxed, PBE.

Summary:
Mass density   9.58 Mg/m³
Total magnetic moment   0.0 μB/f.u.

abc: 7.0156 7.0156 7.0156
angles: 90.00 90.00 90.00
Last column: nearest neighbours and their distance in Å.
Space group F-43m (No. 216)
Asymmetric unit:
Tb 0.0000 0.0000 0.0000 (multiplicity 4)  4 Pt 3.04
Nd 0.0000 0.0000 0.5000 (multiplicity 4)  4 Pt 3.04
Pt 0.2500 0.2500 0.2500 (multiplicity 4)  4 Nd 3.04, 4 Tb 3.04



2) TbNdPt: relaxed, PBE.

Summary:
Mass density   9.75 Mg/m³
Total magnetic moment   0.0 μB/f.u.

abc: 7.0047 13.4190 7.2241
angles: 90.00 90.00 90.00
Last column: nearest neighbours and their distance in Å.
Space group Pbca (No. 61)
Asymmetric unit:
Tb 0.0032 0.0315 0.2408 (multiplicity 8)  4 Pt 2.85-2.95
Nd 0.2053 0.6977 0.8971 (multiplicity 8)  2 Pt 2.91-2.94
Pt 0.2294 0.1008 0.5421 (multiplicity 8)  4 Tb 2.85-2.95, 2 Nd 2.91-2.94



So which one wins? Going from most stable to least: 2), 1).



1) TbNdPt: relaxed, PBE.

Summary:
Mass density   10.06 Mg/m³
Total magnetic moment   0.0 μB/f.u.

abc: 6.7802 6.7799 7.1529
angles: 90.00 90.11 90.00
Last column: nearest neighbours and their distance in Å.
Space group C2/m (No. 12)
Asymmetric unit:
Tb 0.0000 0.2502 0.0000 (multiplicity 4)  4 Pt 2.89
Nd 0.2498 0.0000 0.3805 (multiplicity 4)  1 Pt 2.82
Pt 0.2492 0.0000 0.7753 (multiplicity 4)  1 Nd 2.82, 4 Tb 2.89



2) TbNdPt: relaxed, PBE.

Summary:
Mass density   10.14 Mg/m³
Total magnetic moment   0.0 μB/f.u.

abc: 4.6842 4.6842 4.2956
angles: 90.00 90.00 120.00
Last column: nearest neighbours and their distance in Å.
Space group P3m1 (No. 156)
Asymmetric unit:
Tb 0.0000 0.0000 0.0000 (multiplicity 1)  3 Pt 2.84
Nd 0.3333 0.6667 0.4765 (multiplicity 1)  3 Pt 3.03, 3 Tb 3.39
Pt 0.6667 0.3333 0.7948 (multiplicity 1)  3 Tb 2.84, 3 Nd 3.03



So which one wins? Going from most stable to least: 1), 2).